(1)
A relaxed structure of Zr2ReBMo. Source: Alexandria via LeMat-Bulk, functional PBE-GGA.

Calculated values
Formation enthalpy at 0 K (eV/atom): 1.370
M_tot (μB per formula unit): 1.3

Lattice parameters (Å, degrees): 5.0514 5.0514 3.9275 90.00 90.00 90.00
Last column: nearest neighbours and their distance in Å.
Space group P4/mmm (No. 123)
One atom of each set of equivalent atoms:
Zr 0.0000 0.5000 0.0000  2 Mo 2.53
Re 0.0000 0.0000 0.5000  8 Zr 3.20, 4 B 3.57
B 0.5000 0.5000 0.5000  2 Mo 1.96
Mo 0.5000 0.5000 0.0000  2 B 1.96



(2)
A relaxed structure of BMoRh3. Source: Alexandria via LeMat-Bulk, functional PBE-GGA.

Calculated values
ΔE to the lowest computed polymorph (meV per atom): 0
Formation enthalpy at 0 K (eV/atom): 0.044
M_tot (μB per formula unit): 2.0

Lattice parameters (Å, degrees): 4.0917 4.0917 4.0917 90.00 90.00 90.00
Last column: nearest neighbours and their distance in Å.
Space group Pm-3m (No. 221)
One atom of each set of equivalent atoms:
B 0.0000 0.0000 0.0000  6 Rh 2.05
Mo 0.5000 0.5000 0.5000  12 Rh 2.89
Rh 0.0000 0.0000 0.5000  2 B 2.05



(3)
A relaxed structure of B3MoRh. Source: Alexandria via LeMat-Bulk, functional PBE-GGA.

Calculated values
ΔE to the lowest computed polymorph (meV per atom): 0
Formation enthalpy at 0 K (eV/atom): 1.340
M_tot (μB per formula unit): 0.0

Lattice parameters (Å, degrees): 3.9378 3.9378 3.9378 90.00 90.00 90.00
Last column: nearest neighbours and their distance in Å.
Space group Pm-3m (No. 221)
One atom of each set of equivalent atoms:
B 0.0000 0.0000 0.5000  2 Rh 1.97
Mo 0.5000 0.5000 0.5000  12 B 2.78
Rh 0.0000 0.0000 0.0000  6 B 1.97



(4)
A relaxed structure of B2MoRh. Source: Alexandria via LeMat-Bulk, functional PBE-GGA.

Calculated values
ΔE to the lowest computed polymorph (meV per atom): 273
Formation enthalpy at 0 K (eV/atom): 0.529
M_tot (μB per formula unit): 0.0

Lattice parameters (Å, degrees): 4.4917 4.4917 10.6120 90.00 90.00 90.00
Last column: nearest neighbours and their distance in Å.
Space group I-42d (No. 122)
One atom of each set of equivalent atoms:
B 0.2210 0.2500 0.1250  2 Rh 2.00, 2 Mo 2.14
Mo 0.0000 0.0000 0.5000  4 B 2.14
Rh 0.0000 0.0000 0.0000  4 B 2.00